1.
# Ca4MgAu, relaxed, DFT PBE-GGA
data_Ca4MgAu
_space_group_name_H-M_alt 'P 1'
_space_group_IT_number 1
_cell_length_a 10.350
_cell_length_b 10.350
_cell_length_c 10.350
_cell_angle_alpha 60.00
_cell_angle_beta 60.00
_cell_angle_gamma 60.00
loop_
_space_group_symop_operation_xyz
'x,y,z'
loop_
_atom_site_label
_atom_site_fract_x
_atom_site_fract_y
_atom_site_fract_z
_atom_site_occupancy
Ca1 0.190 0.190 0.810 1
Ca2 0.190 0.810 0.190 1
Ca3 0.190 0.810 0.810 1
Ca4 0.402 0.402 0.402 1
Ca5 0.402 0.402 0.795 1
Ca6 0.402 0.795 0.402 1
Ca7 0.555 0.555 0.945 1
Ca8 0.555 0.945 0.555 1
Ca9 0.555 0.945 0.945 1
Ca10 0.795 0.402 0.402 1
Ca11 0.810 0.190 0.190 1
Ca12 0.810 0.190 0.810 1
Ca13 0.810 0.810 0.190 1
Ca14 0.945 0.555 0.555 1
Ca15 0.945 0.555 0.945 1
Ca16 0.945 0.945 0.555 1
Mg1 0.172 0.172 0.172 1
Mg2 0.172 0.172 0.484 1
Mg3 0.172 0.484 0.172 1
Mg4 0.484 0.172 0.172 1
Au1 0.171 0.610 0.610 1
Au2 0.610 0.171 0.610 1
Au3 0.610 0.610 0.171 1
Au4 0.610 0.610 0.610 1
# **Space-group type**: F-43m, No. 216
# **Offset from the most stable computed form**: 0 kJ/mol of formula units



2.
# Ca8MgAu2, relaxed, DFT PBE-GGA
data_Ca8MgAu2
_space_group_name_H-M_alt 'P 1'
_space_group_IT_number 1
_cell_length_a 8.378
_cell_length_b 8.378
_cell_length_c 5.883
_cell_angle_alpha 98.05
_cell_angle_beta 98.05
_cell_angle_gamma 111.60
loop_
_space_group_symop_operation_xyz
'x,y,z'
loop_
_atom_site_label
_atom_site_fract_x
_atom_site_fract_y
_atom_site_fract_z
_atom_site_occupancy
Ca1 0.000 0.000 0.000 1
Ca2 0.056 0.316 0.614 1
Ca3 0.136 0.629 0.198 1
Ca4 0.316 0.056 0.614 1
Ca5 0.448 0.709 0.782 1
Ca6 0.629 0.136 0.198 1
Ca7 0.709 0.448 0.782 1
Ca8 0.763 0.763 0.395 1
Mg1 0.381 0.381 0.195 1
Au1 0.066 0.698 0.698 1
Au2 0.698 0.066 0.698 1
# **Space-group type**: Cm, No. 8
# **Electronic total energy**: -0.09295 Ha/atom



3.
# CaMg2Au6, relaxed, DFT PBE-GGA
data_CaMg2Au6
_space_group_name_H-M_alt 'P 1'
_space_group_IT_number 1
_cell_length_a 8.303
_cell_length_b 8.303
_cell_length_c 8.303
_cell_angle_alpha 156.90
_cell_angle_beta 124.72
_cell_angle_gamma 60.70
loop_
_space_group_symop_operation_xyz
'x,y,z'
loop_
_atom_site_label
_atom_site_fract_x
_atom_site_fract_y
_atom_site_fract_z
_atom_site_occupancy
Ca1 0.000 0.000 0.000 1
Mg1 0.355 0.855 0.500 1
Mg2 0.645 0.145 0.500 1
Au1 0.007 0.323 0.684 1
Au2 0.324 0.500 0.824 1
Au3 0.361 0.677 0.684 1
Au4 0.639 0.323 0.316 1
Au5 0.676 0.500 0.176 1
Au6 0.993 0.677 0.316 1
# **Space-group type**: Immm, No. 71
# **Offset from the most stable computed form**: 21 kJ/mol of formula units



4.
# Ca2Mg2Au, relaxed, DFT PBE-GGA
data_Ca2Mg2Au
_space_group_name_H-M_alt 'P 1'
_space_group_IT_number 1
_cell_length_a 7.261
_cell_length_b 7.261
_cell_length_c 5.230
_cell_angle_alpha 90.00
_cell_angle_beta 90.00
_cell_angle_gamma 90.00
loop_
_space_group_symop_operation_xyz
'x,y,z'
loop_
_atom_site_label
_atom_site_fract_x
_atom_site_fract_y
_atom_site_fract_z
_atom_site_occupancy
Ca1 0.176 0.324 0.000 1
Ca2 0.324 0.824 0.000 1
Ca3 0.676 0.176 0.000 1
Ca4 0.824 0.676 0.000 1
Mg1 0.143 0.643 0.500 1
Mg2 0.357 0.143 0.500 1
Mg3 0.643 0.857 0.500 1
Mg4 0.857 0.357 0.500 1
Au1 0.000 0.000 0.500 1
Au2 0.500 0.500 0.500 1
# **Space-group type**: P4/mbm, No. 127
# **Electronic total energy**: -0.08572 Ha/atom



What did the third record say?
# CaMg2Au6, relaxed, DFT PBE-GGA
data_CaMg2Au6
_space_group_name_H-M_alt 'P 1'
_space_group_IT_number 1
_cell_length_a 8.303
_cell_length_b 8.303
_cell_length_c 8.303
_cell_angle_alpha 156.90
_cell_angle_beta 124.72
_cell_angle_gamma 60.70
loop_
_space_group_symop_operation_xyz
'x,y,z'
loop_
_atom_site_label
_atom_site_fract_x
_atom_site_fract_y
_atom_site_fract_z
_atom_site_occupancy
Ca1 0.000 0.000 0.000 1
Mg1 0.355 0.855 0.500 1
Mg2 0.645 0.145 0.500 1
Au1 0.007 0.323 0.684 1
Au2 0.324 0.500 0.824 1
Au3 0.361 0.677 0.684 1
Au4 0.639 0.323 0.316 1
Au5 0.676 0.500 0.176 1
Au6 0.993 0.677 0.316 1
# **Space-group type**: Immm, No. 71
# **Offset from the most stable computed form**: 21 kJ/mol of formula units